(1)
Density functional theory data (PBE-GGA) for a geometry-optimized Cs2LaPuO4 structure.

Raw formation energy ... -2.41 eV/atom
DOS(E_F) ... 5.98 states/eV/cell
M_tot ... 4.96 μB per formula unit

a b c (Å): 3.7048 6.4486 7.2572
angles (deg): 107.25 90.00 90.00
Site moments in Bohr magnetons follow the coordinates.
Fractional coordinates of all 8 atoms:
Cs  0.5000  0.0000  0.5000  0.02
Cs  0.0000  0.5000  0.5000  0.02
La  0.5000  0.5000  0.0000  0.05
Pu  0.0000  0.0000  0.0000  4.83
O  0.5000  0.2086  0.1630  -0.07
O  0.5000  0.7914  0.8370  -0.07
O  0.0000  0.2679  0.8350  -0.03
O  0.0000  0.7321  0.1650  -0.03

***

(2)
Density functional theory data (PBE-GGA) for a geometry-optimized CsLa2ReO8 structure.

Raw formation energy ... -2.23 eV/atom
M_tot ... 0.00 μB per formula unit

a b c (Å): 4.9483 4.9374 8.2640
angles (deg): 85.56 85.70 91.64
Fractional coordinates of all 12 atoms:
Cs  0.0000  0.0000  0.5000
La  0.4496  0.4483  0.7868
La  0.5504  0.5517  0.2132
Re  0.0000  0.0000  0.0000
O  0.1182  0.7511  0.1662
O  0.7346  0.7344  0.9542
O  0.7516  0.1195  0.1651
O  0.8818  0.2489  0.8338
O  0.2654  0.2656  0.0458
O  0.2484  0.8805  0.8349
O  0.6066  0.6098  0.5002
O  0.3934  0.3902  0.4998

***

(3)
Density functional theory data (PBE-GGA) for a geometry-optimized Cs4La3RhO8 structure.

Raw formation energy ... -2.04 eV/atom
M_tot ... 0.00 μB per formula unit

a b c (Å): 7.3286 8.0550 7.3278
angles (deg): 117.07 120.00 90.00
Fractional coordinates of all 16 atoms:
Cs  0.5000  0.0000  0.0000
Cs  0.5000  0.0000  0.5000
Cs  0.0000  0.0000  0.0000
Cs  0.0000  0.0000  0.5000
La  0.5000  0.5000  0.0000
La  0.5000  0.5000  0.5000
La  0.0000  0.5000  0.5000
Rh  0.0000  0.5000  0.0000
O  0.2116  0.6672  0.9557
O  0.2116  0.6672  0.4232
O  0.2764  0.3295  0.5529
O  0.7440  0.6672  0.9557
O  0.2560  0.3328  0.0443
O  0.7236  0.6705  0.4471
O  0.7884  0.3328  0.5768
O  0.7884  0.3328  0.0443

***

- Which formula does entry 3 have?
  Cs4La3RhO8